This record from OQMD describes crystalline Co2Se at its relaxed geometry. The functional is GGA-PBE.

Cell: 4.9036 4.9036 4.9036 Å, 60.00 60.00 60.00°
Sites, in units of the cell vectors:
Co  0.0000  0.0000  0.0000
Co  0.0000  0.0000  0.5000
Co  0.0000  0.5000  0.0000
Co  0.5000  0.0000  0.0000
Se  0.3750  0.3750  0.3750
Se  0.6250  0.6250  0.6250

Volume: 83.4 Å³ per cell
Offset from the most stable computed form: 0.447 eV per atom
Final energy: -32.34 eV for the cell shown